(a)
Compound: TePbW
Source: the Alexandria database
Functional: PBE-GGA
Structure: relaxed

## Properties
- symmetry = I4mm, No. 107

abc: 7.4324 7.4324 7.4324
angles: 154.49 154.49 36.39
Last column: nearest neighbours and their distance in Å.
Fractional positions:
Pb  0.0287  0.0287  0.0000  4 W 3.17, 4 Pb 3.28
Te  0.2893  0.2893  0.0000  4 W 2.77
W  0.6820  0.6820  0.0000  4 Te 2.77

(b)
Compound: TePbW
Source: the Alexandria database
Functional: PBE-GGA
Structure: relaxed

## Properties
- symmetry = P-6m2, No. 187

abc: 4.8320 4.8320 3.4183
angles: 90.00 90.00 120.00
Last column: nearest neighbours and their distance in Å.
Fractional positions:
Te  0.6667  0.3333  0.5000  3 W 2.79
W  0.3333  0.6667  0.5001  3 Te 2.79
Pb  0.0000  0.0000  0.9999  6 W 3.27, 6 Te 3.27, 2 Pb 3.42

What should be chosen as the least stable of them? Choose (b).

(a)
Compound: TePbW3
Source: the Alexandria database
Functional: PBE-GGA
Structure: relaxed

## Properties
- symmetry = Pm-3m, No. 221

abc: 4.9530 4.9530 4.9530
angles: 90.00 90.00 90.00
Last column: nearest neighbours and their distance in Å.
Fractional positions:
Te  0.0000  0.0000  0.0000  6 W 2.48
Pb  0.5000  0.5000  0.5000  12 W 3.50
W  0.0000  0.5000  0.0000  2 Te 2.48
W  0.5000  0.0000  0.0000  2 Te 2.48
W  0.0000  0.0000  0.5000  2 Te 2.48

(b)
Compound: TePbW3
Source: the Alexandria database
Functional: PBE-GGA
Structure: relaxed

## Properties
- symmetry = Pm-3m, No. 221

abc: 5.0516 5.0516 5.0516
angles: 90.00 90.00 90.00
Last column: nearest neighbours and their distance in Å.
Fractional positions:
Pb  0.0000  0.0000  0.0000  6 W 2.53
W  0.0000  0.5000  0.0000  2 Pb 2.53
W  0.5000  0.0000  0.0000  2 Pb 2.53
W  0.0000  0.0000  0.5000  2 Pb 2.53
Te  0.5000  0.5000  0.5000  12 W 3.57

What should be chosen as the least stable of them? Choose (b).

(a)
Compound: Y4Te2Pb
Source: the Alexandria database
Functional: PBE-GGA
Structure: relaxed

## Properties
- symmetry = Fddd, No. 70

abc: 8.2751 8.2751 8.2861
angles: 108.81 108.82 110.74
Last column: nearest neighbours and their distance in Å.
Fractional positions:
Pb  0.2500  0.7500  0.5000  4 Y 3.05
Pb  0.0000  0.0000  0.0000  4 Y 3.05
Y  0.3078  0.4968  0.1881  3 Te 3.04-3.08, 1 Pb 3.05
Y  0.7468  0.0578  0.6881  3 Te 3.04-3.08, 1 Pb 3.05
Y  0.3697  0.0587  0.3119  3 Te 3.04-3.08, 1 Pb 3.05
Y  0.5032  0.6922  0.8120  3 Te 3.04-3.08, 1 Pb 3.05
Y  0.9413  0.6303  0.6881  3 Te 3.04-3.08, 1 Pb 3.05
Y  0.8803  0.6913  0.1880  3 Te 3.04-3.08, 1 Pb 3.05
Y  0.3088  0.1197  0.8119  3 Te 3.04-3.08, 1 Pb 3.05
Y  0.9422  0.2531  0.3119  3 Te 3.04-3.08, 1 Pb 3.05
Te  0.6250  0.8750  0.2500  6 Y 3.04-3.08
Te  0.6250  0.3750  0.7500  6 Y 3.04-3.08
Te  0.6250  0.3750  0.2500  6 Y 3.04-3.08
Te  0.1250  0.3750  0.7500  6 Y 3.04-3.08

(b)
Compound: Y4Te2Pb
Source: the Alexandria database
Functional: PBE-GGA
Structure: relaxed

## Properties
- symmetry = I4/mmm, No. 139

abc: 5.7528 5.7528 8.6946
angles: 70.68 70.68 90.00
Last column: nearest neighbours and their distance in Å.
Fractional positions:
Y  0.0000  0.5000  0.0000  2 Pb 2.88
Y  0.5000  0.0000  0.0000  2 Pb 2.88
Y  0.8012  0.8012  0.3975  1 Te 2.92, 1 Pb 3.05
Y  0.1988  0.1988  0.6025  1 Te 2.92, 1 Pb 3.05
Te  0.3890  0.3890  0.2220  1 Y 2.92
Te  0.6110  0.6110  0.7780  1 Y 2.92
Pb  0.0000  0.0000  0.0000  6 Y 2.88-3.05

What should be chosen as the least stable of them? Choose (b).

(a)
Compound: Y2TePb
Source: the Alexandria database
Functional: PBE-GGA
Structure: relaxed

## Properties
- symmetry = Imm2, No. 44

abc: 6.6488 6.6488 6.6488
angles: 142.63 139.28 56.45
Last column: nearest neighbours and their distance in Å.
Fractional positions:
Te  0.2339  0.7339  0.5000  6 Y 3.16-3.31
Y  0.7585  0.2585  0.5000  4 Te 3.16
Y  0.0179  0.0179  0.0000  4 Pb 3.16, 2 Te 3.31
Pb  0.4898  0.4898  0.0000  4 Y 3.16

(b)
Compound: Y2TePb
Source: the Alexandria database
Functional: PBE-GGA
Structure: relaxed

## Properties
- symmetry = P4/mmm, No. 123

abc: 4.4217 4.4133 6.2311
angles: 90.00 90.00 90.00
Last column: nearest neighbours and their distance in Å.
Fractional positions:
Y  0.5000  0.5000  0.3753  2 Te 3.12, 4 Pb 3.12
Y  0.0000  0.0000  0.8747  2 Pb 3.12, 4 Te 3.12
Pb  0.0000  0.0000  0.3747  6 Y 3.12
Te  0.5000  0.5000  0.8753  6 Y 3.12

(c)
Compound: Y2TePb
Source: the Alexandria database
Functional: PBE-GGA
Structure: relaxed

## Properties
- symmetry = Pmna, No. 53

abc: 6.2410 6.2410 12.5090
angles: 89.99 90.00 90.00
Last column: nearest neighbours and their distance in Å.
Fractional positions:
Y  0.2492  0.5001  0.8771  3 Pb 3.10-3.12, 3 Te 3.12-3.15
Y  0.2492  0.9999  0.6229  3 Pb 3.10-3.12, 3 Te 3.12-3.15
Y  0.7493  0.5000  0.6271  3 Pb 3.10-3.12, 3 Te 3.12-3.15
Y  0.2507  0.5000  0.3729  3 Pb 3.10-3.12, 3 Te 3.12-3.15
Y  0.7508  0.0001  0.3771  3 Pb 3.10-3.12, 3 Te 3.12-3.15
Y  0.7508  0.4999  0.1229  3 Pb 3.10-3.12, 3 Te 3.12-3.15
Y  0.7493  0.0000  0.8729  3 Pb 3.10-3.12, 3 Te 3.12-3.15
Y  0.2507  0.0000  0.1271  3 Pb 3.10-3.12, 3 Te 3.12-3.15
Pb  0.7492  0.5000  0.8750  6 Y 3.10-3.12
Pb  0.2508  0.5000  0.1250  6 Y 3.10-3.12
Pb  0.7492  0.0000  0.6250  6 Y 3.10-3.12
Pb  0.2508  0.0000  0.3750  6 Y 3.10-3.12
Te  0.7506  0.0000  0.1250  6 Y 3.12-3.15
Te  0.7506  0.5000  0.3750  6 Y 3.12-3.15
Te  0.2494  0.5000  0.6250  6 Y 3.12-3.15
Te  0.2494  0.0000  0.8750  6 Y 3.12-3.15

What should be chosen as the least stable of them? Choose (a).